Record 1
# BeTc4Ni

A geometry-optimized BeTc4Ni structure (GGA-PBE, Alexandria).

POSCAR file:
```
BeTc4Ni
1.0
0.000 3.554 3.554
3.554 0.000 3.554
3.554 3.554 0.000
Be Tc Ni
1 4 1
direct
0.000 0.000 0.000
0.375 0.375 0.375
0.375 0.375 0.874
0.375 0.874 0.375
0.874 0.375 0.375
0.750 0.750 0.750
```

## Properties
SG: F-43m, No. 216
Formation enthalpy at 0 K, eV per atom: 0.64
Energy, eV per formula unit: -47.13
Crystal system: cubic


Record 2
# Ag3HgPd

A geometry-optimized Ag3HgPd structure (GGA-PBE, Alexandria).

POSCAR file:
```
Ag3HgPd
1.0
3.019 0.000 0.000
0.000 12.207 2.455
0.000 -12.207 2.455
Ag Hg Pd
6 2 2
direct
0.250 0.049 0.951
0.250 0.456 0.556
0.250 0.560 0.056
0.750 0.056 0.560
0.750 0.556 0.456
0.750 0.951 0.049
0.250 0.007 0.307
0.750 0.307 0.007
0.250 0.805 0.505
0.750 0.505 0.805
```

## Properties
SG: Ama2, No. 40
Formation enthalpy at 0 K, eV per atom: -0.03
Energy, eV per formula unit: -14.19
Energy above the lowest structure with this stoichiometry, meV/atom: 0
Crystal system: orthorhombic


Record 3
# La2PrZr

A geometry-optimized La2PrZr structure (GGA-PBE, Alexandria).

POSCAR file:
```
La2PrZr
1.0
1.780 1.027 11.764
-1.780 1.027 11.764
0.000 -2.055 11.764
La Pr Zr
2 1 1
direct
0.000 0.000 0.000
0.154 0.154 0.154
0.579 0.579 0.579
0.411 0.411 0.411
```

## Properties
SG: R3m, No. 160
Formation enthalpy at 0 K, eV per atom: 0.14
Energy, eV per formula unit: -22.63
Energy above the lowest structure with this stoichiometry, meV/atom: 0
Crystal system: trigonal


Record 4
# RbZn2SnRh

A geometry-optimized RbZn2SnRh structure (GGA-PBE, Alexandria).

POSCAR file:
```
RbZn2SnRh
1.0
5.061 0.000 0.000
0.000 5.061 0.000
0.000 0.000 5.037
Rb Zn Sn Rh
1 2 1 1
direct
0.000 0.000 0.000
0.000 0.500 0.500
0.500 0.000 0.500
0.500 0.500 0.000
0.500 0.500 0.500
```

## Properties
SG: P4/mmm, No. 123
Formation enthalpy at 0 K, eV per atom: -0.16
Energy, eV per formula unit: -15.67
Crystal system: tetragonal


Record 5
# PRuSe2

A geometry-optimized PRuSe2 structure (GGA-PBE, Alexandria).

POSCAR file:
```
PRuSe2
1.0
1.652 0.954 8.325
-1.652 0.954 8.325
0.000 -1.908 8.325
P Ru Se
1 1 2
direct
0.000 0.000 0.000
0.740 0.740 0.740
0.270 0.270 0.270
0.465 0.465 0.465
```

## Properties
SG: R3m, No. 160
E_form (uncorrected), eV per atom: 0.030
Energy, eV per formula unit: -21.54
Crystal system: trigonal


Record 6
# DySc2SnC

A geometry-optimized DySc2SnC structure (GGA-PBE, Alexandria).

POSCAR file:
```
DySc2SnC
1.0
4.574 0.000 0.000
0.000 4.574 0.000
0.000 0.000 4.850
Dy Sc Sn C
1 2 1 1
direct
0.000 0.000 0.000
0.000 0.500 0.500
0.500 0.000 0.500
0.500 0.500 0.000
0.000 0.000 0.500
```

## Properties
SG: P4/mmm, No. 123
Formation enthalpy at 0 K, eV per atom: -0.72
Energy, eV per formula unit: -34.07
Crystal system: tetragonal


Record 7
# TmMoS

A geometry-optimized TmMoS structure (GGA-PBE, Alexandria).

POSCAR file:
```
TmMoS
1.0
3.601 0.000 0.000
0.000 3.601 0.000
0.000 0.000 8.746
Tm Mo S
2 2 2
direct
0.250 0.250 0.205
0.750 0.750 0.795
0.250 0.250 0.569
0.750 0.750 0.431
0.250 0.250 0.862
0.750 0.750 0.138
```

## Properties
SG: P4/nmm, No. 129
E_form (uncorrected), eV per atom: -0.995
Energy, eV per formula unit: -22.41
Crystal system: tetragonal


Record 8
# Fe2TcHRh

A geometry-optimized Fe2TcHRh structure (GGA-PBE, Alexandria).

POSCAR file:
```
Fe2TcHRh
1.0
3.710 0.000 0.000
0.000 3.710 0.000
0.000 0.000 3.754
Fe Tc H Rh
2 1 1 1
direct
0.000 0.500 0.000
0.500 0.000 0.000
0.000 0.000 0.500
0.000 0.000 0.000
0.500 0.500 0.500
```

## Properties
SG: P4/mmm, No. 123
Energy, eV per formula unit: -37.47
Crystal system: tetragonal


Record 9
# In3SbH

A geometry-optimized In3SbH structure (GGA-PBE, Alexandria).

POSCAR file:
```
In3SbH
1.0
4.873 0.000 0.000
0.000 4.873 0.000
0.000 0.000 4.873
In Sb H
3 1 1
direct
0.000 0.000 0.500
0.000 0.500 0.000
0.500 0.000 0.000
0.500 0.500 0.500
0.000 0.000 0.000
```

## Properties
SG: Pm-3m, No. 221
Energy, eV per formula unit: -14.76
Crystal system: cubic


Record 10
# LaNdAsO2

A geometry-optimized LaNdAsO2 structure (GGA-PBE, Alexandria).

POSCAR file:
```
LaNdAsO2
1.0
-1.984 1.984 6.726
1.984 -1.984 6.726
1.984 1.984 -6.726
La Nd As O
1 1 1 2
direct
0.000 0.000 0.000
0.684 0.684 0.000
0.340 0.340 0.000
0.093 0.593 0.500
0.593 0.093 0.500
```

## Properties
SG: I4mm, No. 107
E_form (uncorrected), eV per atom: -2.612
Energy, eV per formula unit: -37.32
Crystal system: tetragonal


Record 11
# Li3Cr

A geometry-optimized Li3Cr structure (GGA-PBE, Alexandria).

POSCAR file:
```
Li3Cr
1.0
4.178 0.000 0.000
0.000 4.178 0.000
0.000 0.000 4.178
Li Cr
3 1
direct
0.000 0.000 0.500
0.000 0.500 0.000
0.500 0.000 0.000
0.500 0.500 0.500
```

## Properties
SG: Pm-3m, No. 221
Formation enthalpy at 0 K, eV per atom: 0.38
Energy, eV per formula unit: -13.83
Energy above the lowest structure with this stoichiometry, meV/atom: 18
Crystal system: cubic


Record 12
# Pu3Hg5Te12

A geometry-optimized Pu3Hg5Te12 structure (GGA-PBE, Alexandria).

POSCAR file:
```
Pu3Hg5Te12
1.0
-8.848 8.848 8.848
8.848 -8.848 8.848
8.848 8.848 -8.848
Pu Hg Te
12 20 48
direct
0.125 0.250 0.375
0.125 0.375 0.750
0.250 0.375 0.125
0.250 0.875 0.625
0.375 0.125 0.250
0.375 0.750 0.125
0.625 0.250 0.875
0.625 0.875 0.750
0.750 0.125 0.375
0.750 0.625 0.875
0.875 0.625 0.250
0.875 0.750 0.625
0.000 0.000 0.000
0.000 0.000 0.500
0.000 0.500 0.000
0.000 0.500 0.500
0.125 0.750 0.875
0.125 0.875 0.250
0.250 0.125 0.875
0.250 0.625 0.375
0.375 0.250 0.625
0.375 0.625 0.750
0.500 0.000 0.000
0.500 0.000 0.500
0.500 0.500 0.000
0.500 0.500 0.500
0.625 0.375 0.250
0.625 0.750 0.375
0.750 0.375 0.625
0.750 0.875 0.125
0.875 0.125 0.750
0.875 0.250 0.125
0.056 0.227 0.140
0.056 0.328 0.916
0.084 0.640 0.412
0.084 0.944 0.672
0.088 0.727 0.672
0.088 0.860 0.416
0.140 0.056 0.227
0.140 0.584 0.912
0.172 0.227 0.588
0.172 0.444 0.584
0.227 0.140 0.056
0.227 0.588 0.172
0.273 0.328 0.912
0.273 0.444 0.360
0.328 0.912 0.273
0.328 0.916 0.056
0.360 0.273 0.444
0.360 0.588 0.916
0.412 0.084 0.640
0.412 0.828 0.773
0.416 0.088 0.860
0.416 0.828 0.556
0.444 0.360 0.273
0.444 0.584 0.172
0.556 0.416 0.828
0.556 0.640 0.727
0.584 0.172 0.444
0.584 0.912 0.140
0.588 0.172 0.227
0.588 0.916 0.360
0.640 0.412 0.084
0.640 0.727 0.556
0.672 0.084 0.944
0.672 0.088 0.727
0.727 0.556 0.640
0.727 0.672 0.088
0.773 0.412 0.828
0.773 0.860 0.944
0.828 0.556 0.416
0.828 0.773 0.412
0.860 0.416 0.088
0.860 0.944 0.773
0.912 0.140 0.584
0.912 0.273 0.328
0.916 0.056 0.328
0.916 0.360 0.588
0.944 0.672 0.084
0.944 0.773 0.860
```

## Properties
SG: Ia-3d, No. 230
E_form (uncorrected), eV per atom: -0.303
Energy, eV per formula unit: -88.26
Crystal system: cubic


Q: Which value of energy does entry 4 give?
A: -15.67 eV per formula unit